Entry 1:
Density functional theory data (GGA-PBE) for an optimized crystal structure of PrDy2Ag2.

Cell: 4.9480 4.9479 6.8776 Å, 111.76 111.76 89.84°
Fractional coordinates of all 5 atoms:
Pr  0.0000  0.0000  0.0000
Dy  0.2501  0.7499  0.5000
Dy  0.7499  0.2501  0.5000
Ag  0.6082  0.6082  0.2252
Ag  0.3918  0.3918  0.7748

## Properties
Total magnetic moment ... 0.0000 μB/atom
Symmetry ... C2/m (12)
Energy above the lowest structure with this stoichiometry ... 140 meV per atom
Energy ... -20.06 eV per cell
Formation energy from the elements ... -1.725 kcal/mol of atoms

***

Entry 2:
Density functional theory data (GGA-PBE) for an optimized crystal structure of TaTl2Se.

Cell: 8.2280 8.2280 4.1600 Å, 75.34 75.34 22.50°
Fractional coordinates of all 4 atoms:
Se  0.2500  0.2500  0.2500
Ta  0.7500  0.7500  0.7500
Tl  0.0707  0.0707  0.9287
Tl  0.4293  0.4293  0.5713

## Properties
Total magnetic moment ... 0.0000 μB/atom
Uncorrected formation energy ... 167 meV/atom
Symmetry ... Immm (71)
Energy above the lowest structure with this stoichiometry ... 225 meV per atom
Energy ... -19.40 eV per cell

***

Entry 3:
Density functional theory data (GGA-PBE) for an optimized crystal structure of TcGeSe2.

Cell: 9.3853 9.3853 9.3853 Å, 19.65 19.65 19.65°
Fractional coordinates of all 4 atoms:
Ge  0.0000  0.0000  0.0000
Tc  0.5000  0.5000  0.5000
Se  0.8967  0.8967  0.8967
Se  0.1033  0.1033  0.1033

## Properties
Total magnetic moment ... 0.0000 μB/atom
Uncorrected formation energy ... 39 meV/atom
Symmetry ... R-3m (166)
Energy ... -21.80 eV per cell

***

Entry 4:
Density functional theory data (GGA-PBE) for an optimized crystal structure of Ti4SnPd2.

Cell: 5.7237 5.7237 8.1251 Å, 90.00 90.00 106.65°
Last column: magnetic moment on the atom in μB.
Fractional coordinates of all 14 atoms:
Ti  0.8012  0.7986  0.0000  0.90
Ti  0.1988  0.2014  0.0000  0.90
Ti  0.2014  0.1988  0.5000  0.90
Ti  0.7986  0.8012  0.5000  0.90
Ti  0.5000  0.0000  0.2790  0.41
Ti  0.0000  0.5000  0.2210  0.41
Ti  0.5000  0.0000  0.7210  0.41
Ti  0.0000  0.5000  0.7790  0.41
Sn  0.5000  0.5000  0.2500  -0.03
Sn  0.5000  0.5000  0.7500  -0.03
Pd  0.3071  0.7640  0.0000  0.04
Pd  0.6929  0.2360  0.0000  0.04
Pd  0.2360  0.6929  0.5000  0.04
Pd  0.7640  0.3071  0.5000  0.04

## Properties
Total magnetic moment ... 0.4648 μB/atom
Symmetry ... Cccm (66)
Energy ... -95.15 eV per cell
Formation energy from the elements ... -5.294 kcal/mol of atoms